! Rb3ZnAu4 PBE-GGA optimized geometry; values from VASP
! DOS(E_F) (states/eV/cell): 3.8
! Energy of formation from the pure elements (eV/atom): -0.23
! Total magnetization (μB/cell): 0.00
&SYSTEM
  ibrav = 0, nat = 8, ntyp = 3
/
ATOMIC_SPECIES
Rb 85.47 Rb.upf
Zn 65.41 Zn.upf
Au 196.97 Au.upf
ATOMIC_POSITIONS crystal
Rb 0.5884 0.2490 0.8374
Rb 0.9422 0.0000 0.9422
Rb 0.5884 0.7510 0.3395
Zn 0.9766 0.5000 0.4766
Au 0.2149 0.6860 0.9009
Au 0.2149 0.3140 0.5289
Au 0.5151 0.2024 0.3128
Au 0.1104 0.7976 0.3128
CELL_PARAMETERS angstrom
6.8182 -0.0065 1.4096
-3.3634 5.9309 -1.4096
-1.8313 -2.9017 6.0582